1.
{
  "formula": "Na3Pr2RhO6",
  "functional": "PBE",
  "state": "relaxed",
  "lattice_angstrom": [[2.956, -5.142, 0.000], [2.956, 5.142, 0.000], [-1.851, 0.000, 5.670]],
  "species": ["Na", "Na", "Na", "Pr", "Pr", "Rh", "O", "O", "O", "O", "O", "O"],
  "fractional_positions": [[0.000, 0.000, 0.000], [0.355, 0.645, 0.000], [0.645, 0.355, 0.000], [0.168, 0.832, 0.500], [0.832, 0.168, 0.500], [0.500, 0.500, 0.500], [0.127, 0.429, 0.280], [0.261, 0.261, 0.714], [0.429, 0.127, 0.280], [0.571, 0.873, 0.720], [0.739, 0.739, 0.286], [0.873, 0.571, 0.720]],
  "total_energy_ev_per_cell": -74.808,
  "sg": "C2/m (12)"
}



2.
{
  "formula": "BiBr3Cl",
  "functional": "PBE",
  "state": "relaxed",
  "lattice_angstrom": [[5.356, 0.000, 0.000], [0.000, 5.356, 0.000], [0.000, 0.000, 5.356]],
  "species": ["Bi", "Br", "Br", "Br", "Cl"],
  "fractional_positions": [[0.000, 0.000, 0.000], [0.000, 0.500, 0.500], [0.500, 0.000, 0.500], [0.500, 0.500, 0.000], [0.500, 0.500, 0.500]],
  "e_above_lowest_polymorph_kj_per_mol_fu": 506,
  "total_energy_ev_per_cell": -8.477,
  "sg": "Pm-3m (221)"
}